AcPmHo2Sb4 | Alexandria via LeMat-Bulk | GGA-PBE | relaxed; total magnetic moment = 0.0 μB/cell; crystal system = monoclinic; DOS(E_F) = 1.1 states/eV per cell; formation energy without anion corrections = -1.133 eV per atom
1.0
4.516 0.000 0.000
0.000 7.802 -0.151
0.000 2.750 7.322
Ac Ho Sb Pm
1 2 4 1
Direct
0.500 0.500 0.000
0.000 0.000 0.000
0.500 0.000 0.500
0.000 0.231 0.264
0.000 0.769 0.736
0.500 0.237 0.747
0.500 0.763 0.253
0.000 0.500 0.500

Ac2PmHoSb4 | Alexandria via LeMat-Bulk | GGA-PBE | relaxed; total magnetic moment = 0.0 μB/cell; crystal system = monoclinic; DOS(E_F) = 1.0 states/eV per cell; formation energy without anion corrections = -1.163 eV per atom
1.0
-4.440 1.265 -0.163
-1.761 -5.461 5.566
0.668 3.283 7.260
Sb Ac Pm Ho
4 2 1 1
Direct
0.000 0.269 0.247
0.500 0.272 0.739
0.000 0.731 0.753
0.500 0.728 0.261
0.500 0.000 0.500
0.000 0.000 0.000
0.500 0.500 0.000
0.000 0.500 0.500

AcPm2HoSe6 | Alexandria via LeMat-Bulk | GGA-PBE | relaxed; total magnetic moment = 0.0 μB/cell; crystal system = trigonal; DOS(E_F) = 0.0 states/eV per cell; formation energy without anion corrections = -1.870 eV per atom
1.0
-5.430 5.123 0.531
-6.901 -2.058 2.039
-2.538 2.032 7.201
Pm Se Ho Ac
2 6 1 1
Direct
0.013 0.013 0.961
0.521 0.520 0.439
0.928 0.603 0.248
0.222 0.928 0.248
0.388 0.718 0.751
0.143 0.388 0.751
0.718 0.143 0.751
0.603 0.222 0.248
0.319 0.319 0.042
0.808 0.808 0.576

Ac4Pm3HoSe8 | Alexandria via LeMat-Bulk | GGA-PBE | relaxed; total magnetic moment = 0.0 μB/cell; crystal system = trigonal; DOS(E_F) = 9.1 states/eV per cell; formation energy without anion corrections = -1.825 eV per atom
1.0
8.567 0.000 0.000
0.000 8.690 0.081
-4.283 -4.280 6.060
Pm Se Ac Ho
3 8 4 1
Direct
0.000 0.500 0.500
0.500 0.500 0.000
0.500 0.500 0.500
0.256 0.268 0.512
0.239 0.727 0.478
0.239 0.727 0.988
0.761 0.273 0.522
0.251 0.273 0.012
0.749 0.727 0.988
0.761 0.273 0.012
0.744 0.732 0.488
0.500 0.000 0.000
0.000 0.000 0.500
0.500 0.000 0.500
0.000 0.000 0.000
0.000 0.500 0.000

AcPm2HoSe4 | Alexandria via LeMat-Bulk | GGA-PBE | relaxed; total magnetic moment = 0.0 μB/cell; crystal system = monoclinic; DOS(E_F) = 4.3 states/eV per cell; formation energy without anion corrections = -1.785 eV per atom
1.0
4.162 0.000 0.000
0.000 7.250 -0.155
0.000 2.547 7.073
Se Pm Ho Ac
4 2 1 1
Direct
0.000 0.757 0.733
0.000 0.243 0.267
0.500 0.255 0.734
0.500 0.745 0.266
0.500 0.000 0.500
0.000 0.000 0.000
0.000 0.500 0.500
0.500 0.500 0.000

Ac3Pm2HoSe6 | Alexandria via LeMat-Bulk | GGA-PBE | relaxed; total magnetic moment = 0.0 μB/cell; crystal system = monoclinic; DOS(E_F) = 5.8 states/eV per cell; formation energy without anion corrections = -1.825 eV per atom
1.0
7.369 -0.012 -0.003
-3.693 6.377 -0.003
-1.229 -2.129 7.219
Se Ho Ac Pm
6 1 3 2
Direct
0.925 0.600 0.775
0.248 0.248 0.770
0.600 0.925 0.775
0.400 0.075 0.225
0.752 0.752 0.230
0.075 0.400 0.225
0.000 0.000 0.000
0.170 0.830 0.500
0.830 0.170 0.500
0.500 0.500 0.500
0.667 0.333 0.000
0.333 0.667 0.000

Ac2PmHoSe4 | Alexandria via LeMat-Bulk | GGA-PBE | relaxed; total magnetic moment = 0.0 μB/cell; crystal system = monoclinic; DOS(E_F) = 3.8 states/eV per cell; formation energy without anion corrections = -1.812 eV per atom
1.0
-4.002 0.657 -1.046
-2.146 -4.236 5.550
0.520 7.257 2.567
Se Ho Ac Pm
4 1 2 1
Direct
0.000 0.748 0.226
0.500 0.234 0.222
0.000 0.252 0.774
0.500 0.766 0.778
0.000 0.000 0.000
0.000 0.500 0.500
0.500 0.000 0.500
0.500 0.500 0.000

AcPmHo2Se6 | Alexandria via LeMat-Bulk | GGA-PBE | relaxed; total magnetic moment = 0.0 μB/cell; crystal system = trigonal; DOS(E_F) = 0.0 states/eV per cell; formation energy without anion corrections = -1.881 eV per atom
1.0
-5.319 5.137 0.691
-7.077 -2.076 0.876
-3.324 0.988 6.967
Ac Pm Se Ho
1 1 6 2
Direct
0.804 0.804 0.587
0.314 0.314 0.058
0.233 0.900 0.242
0.625 0.233 0.242
0.372 0.733 0.742
0.900 0.625 0.242
0.152 0.372 0.742
0.733 0.152 0.742
0.516 0.516 0.452
0.011 0.012 0.966

Question: Which value of DOS(E_F) does entry 2 give?
Answer: 1.0 states/eV per cell